# 1
The following is a PBE calculation of a relaxed TbGaPdAu crystal, from Alexandria.

Unit cell a=4.7860 b=4.7860 c=4.7860 alpha=60.00 beta=60.00 gamma=60.00
Closest atoms and distances in Å follow each position.
Sites, in units of the cell vectors:
Ga  0.5000  0.5000  0.5000  4 Pd 2.93, 4 Au 2.93
Tb  0.0000  0.0000  0.0000  4 Pd 2.93, 4 Au 2.93
Au  0.2500  0.2500  0.2500  4 Tb 2.93, 4 Ga 2.93
Pd  0.7500  0.7500  0.7500  4 Tb 2.93, 4 Ga 2.93

Summary:
Symmetry: F-43m (216)
Energy relative to the elements in meV per atom: -700
Final energy in eV per atom: -4.73
Magnetic moment in μB per atom: 0.00
ρ in Mg/m³: 11.40

# 2
The following is a PBE calculation of a relaxed CsAlP2Cl crystal, from Alexandria.

Unit cell a=4.6733 b=4.6733 c=6.3094 alpha=90.00 beta=90.00 gamma=90.00
Closest atoms and distances in Å follow each position.
Sites, in units of the cell vectors:
Cs  0.5000  0.5000  0.5000  4 Cl 3.30
Al  0.0000  0.0000  0.0000  4 P 2.34
P  0.5000  0.0000  0.0000  2 Al 2.34
P  0.0000  0.5000  0.0000  2 Al 2.34
Cl  0.0000  0.0000  0.5000  2 Al 3.15, 4 Cs 3.30

Summary:
Symmetry: P4/mmm (123)
Final energy in eV per atom: -3.66
Magnetic moment in μB per atom: 0.03
Formation energy (no corrections) in meV/atom: -210
ρ in Mg/m³: 3.10

# 3
The following is a PBE calculation of a relaxed BeCI2 crystal, from Alexandria.

Unit cell a=5.2279 b=5.2279 c=7.8433 alpha=70.53 beta=70.53 gamma=90.00
Closest atoms and distances in Å follow each position.
Sites, in units of the cell vectors:
I  0.8750  0.8813  0.7500  2 C 2.51, 2 Be 2.55
I  0.1187  0.6250  0.2500  2 C 2.51, 2 Be 2.55
I  0.6313  0.1250  0.2500  2 C 2.51, 2 Be 2.55
I  0.3750  0.3687  0.7500  2 C 2.51, 2 Be 2.55
Be  0.5000  0.5000  0.0000  4 I 2.55
Be  0.2500  0.7500  0.5000  4 I 2.55
C  0.0000  0.0000  0.0000  4 I 2.51
C  0.7500  0.2500  0.5000  4 I 2.51

Summary:
Symmetry: I-42d (122)
Final energy in eV per atom: -2.43
Magnetic moment in μB per atom: 0.00
Formation energy (no corrections) in meV/atom: 1587
ρ in Mg/m³: 4.83

# 4
The following is a PBE calculation of a relaxed CuPbBr2 crystal, from Alexandria.

Unit cell a=6.5396 b=6.5396 c=6.5396 alpha=141.66 beta=141.66 gamma=55.35
Closest atoms and distances in Å follow each position.
Sites, in units of the cell vectors:
Br  0.0000  0.0000  0.0000  4 Cu 3.04
Br  0.2500  0.7500  0.5000  4 Pb 3.04
Cu  0.5000  0.5000  0.0000  4 Br 3.04
Pb  0.7500  0.2500  0.5000  4 Br 3.04

Summary:
Symmetry: I-4m2 (119)
Final energy in eV per atom: -2.74
Magnetic moment in μB per atom: 0.00
Formation energy (no corrections) in meV/atom: 45
ρ in Mg/m³: 6.69

> The lowest final energy belongs to which entry?

TbGaPdAu

Copy entry 4 word for word.
The following is a PBE calculation of a relaxed CuPbBr2 crystal, from Alexandria.

Unit cell a=6.5396 b=6.5396 c=6.5396 alpha=141.66 beta=141.66 gamma=55.35
Closest atoms and distances in Å follow each position.
Sites, in units of the cell vectors:
Br  0.0000  0.0000  0.0000  4 Cu 3.04
Br  0.2500  0.7500  0.5000  4 Pb 3.04
Cu  0.5000  0.5000  0.0000  4 Br 3.04
Pb  0.7500  0.2500  0.5000  4 Br 3.04

Summary:
Symmetry: I-4m2 (119)
Final energy in eV per atom: -2.74
Magnetic moment in μB per atom: 0.00
Formation energy (no corrections) in meV/atom: 45
ρ in Mg/m³: 6.69